1.
# AlSnRu2 (GGA-PBE, optimized geometry)
# Formation energy from the elements: 331 meV/atom
# Magnetic moment: 0.99 μB/f.u.
data_AlSnRu2
_chemical_formula_sum 'Al4 Sn4 Ru8'
_cell_length_a 6.8990
_cell_length_b 6.8990
_cell_length_c 5.7932
_cell_angle_alpha 90.00
_cell_angle_beta 90.00
_cell_angle_gamma 90.00
_space_group_name_H-M_alt 'I -4 2 d'
_space_group_IT_number 122
_space_group_name_Hall 'I -4 2bw'
loop_
_atom_site_label
_atom_site_fract_x
_atom_site_fract_y
_atom_site_fract_z
Al1 0.0000 0.0000 0.0000
Sn1 0.0000 0.0000 0.5000
Ru1 0.2185 0.2500 0.1250



2.
# Y2GaSiRh6 (GGA-PBE, optimized geometry)
# Energy relative to the elements, uncorrected: -0.4673 eV per atom
# Magnetic moment: 0.00 μB/f.u.
data_Y2GaSiRh6
_chemical_formula_sum 'Y8 Ga4 Si4 Rh24'
_cell_length_a 9.0304
_cell_length_b 9.0304
_cell_length_c 9.0304
_cell_angle_alpha 90.00
_cell_angle_beta 90.00
_cell_angle_gamma 90.00
_space_group_name_H-M_alt 'F m -3 m'
_space_group_IT_number 225
_space_group_name_Hall '-F 4 2 3'
loop_
_atom_site_label
_atom_site_fract_x
_atom_site_fract_y
_atom_site_fract_z
Y1 0.2500 0.2500 0.2500
Ga1 0.0000 0.0000 0.0000
Si1 0.0000 0.0000 0.5000
Rh1 0.0000 0.0000 0.2560



3.
# Ca2Al3Zn4Hg (GGA-PBE, optimized geometry)
# Formation energy from the elements: -216 meV/atom
# Magnetic moment: 0.00 μB/f.u.
data_Ca2Al3Zn4Hg
_chemical_formula_sum 'Ca2 Al3 Zn4 Hg1'
_cell_length_a 4.3157
_cell_length_b 4.3157
_cell_length_c 11.0197
_cell_angle_alpha 90.00
_cell_angle_beta 90.00
_cell_angle_gamma 90.00
_space_group_name_H-M_alt 'P -4 m 2'
_space_group_IT_number 115
loop_
_space_group_symop_operation_xyz
'x,y,z'
'y,-x,-z'
'-x,-y,z'
'-y,x,-z'
'-x,y,z'
'-y,-x,-z'
'x,-y,z'
'y,x,-z'
loop_
_atom_site_label
_atom_site_fract_x
_atom_site_fract_y
_atom_site_fract_z
Ca1 0.0000 0.5000 0.2433
Al1 0.0000 0.5000 0.8716
Al2 0.5000 0.5000 0.5000
Zn1 0.0000 0.0000 0.0000
Zn2 0.0000 0.5000 0.6452
Zn3 0.5000 0.5000 0.0000
Hg1 0.0000 0.0000 0.5000



4.
# Sr2Ac2Pd3 (GGA-PBE, optimized geometry)
# Formation energy from the elements: -621 meV/atom
# Magnetic moment: 0.00 μB/f.u.
data_Sr2Ac2Pd3
_chemical_formula_sum 'Sr4 Ac4 Pd6'
_cell_length_a 14.6039
_cell_length_b 4.3965
_cell_length_c 7.7621
_cell_angle_alpha 90.00
_cell_angle_beta 100.52
_cell_angle_gamma 90.00
_space_group_name_H-M_alt 'C 1 2/m 1'
_space_group_IT_number 12
loop_
_space_group_symop_operation_xyz
'x,y,z'
'-x,-y,-z'
'-x,y,-z'
'x,-y,z'
'x+1/2,y+1/2,z'
'-x+1/2,-y+1/2,-z'
'-x+1/2,y+1/2,-z'
'x+1/2,-y+1/2,z'
loop_
_atom_site_label
_atom_site_fract_x
_atom_site_fract_y
_atom_site_fract_z
Sr1 0.1332 0.0000 0.3668
Ac1 0.1282 0.5000 0.8985
Pd1 0.0000 0.0000 0.0000
Pd2 0.2387 0.0000 0.7539



5.
# ErIn2Hg7 (GGA-PBE, optimized geometry)
# Formation energy from the elements: -59 meV/atom
# Magnetic moment: 0.00 μB/f.u.
data_ErIn2Hg7
_chemical_formula_sum 'Er2 In4 Hg14'
_cell_length_a 6.0882
_cell_length_b 25.5765
_cell_length_c 3.3013
_cell_angle_alpha 90.00
_cell_angle_beta 90.00
_cell_angle_gamma 90.00
_space_group_name_H-M_alt 'C m m m'
_space_group_IT_number 65
_space_group_name_Hall '-C 2 2'
loop_
_atom_site_label
_atom_site_fract_x
_atom_site_fract_y
_atom_site_fract_z
Er1 0.0000 0.0000 0.0000
In1 0.0000 0.2972 0.5000
Hg1 0.0000 0.1948 0.0000
Hg2 0.0000 0.5000 0.5000
Hg3 0.2434 0.0991 0.5000



6.
# La2AlAs (GGA-PBE, optimized geometry)
# Formation energy from the elements: -637 meV/atom
# Magnetic moment: 0.00 μB/f.u.
data_La2AlAs
_chemical_formula_sum 'La4 Al2 As2'
_cell_length_a 4.4524
_cell_length_b 4.4524
_cell_length_c 10.7073
_cell_angle_alpha 90.00
_cell_angle_beta 90.00
_cell_angle_gamma 90.00
_space_group_name_H-M_alt 'I -4 m 2'
_space_group_IT_number 119
_space_group_name_Hall 'I -4 -2'
loop_
_atom_site_label
_atom_site_fract_x
_atom_site_fract_y
_atom_site_fract_z
La1 0.0000 0.0000 0.0000
La2 0.0000 0.5000 0.2500
Al1 0.0000 0.5000 0.7500
As1 0.0000 0.0000 0.5000



Density
In order: 8.4, 8.1, 5.0, 6.4, 11.6, 5.9
Unit: g/cm³
Uncorrected energy
In order: -6.2437, -7.0159, -2.2788, -4.5012, -1.2739, -5.1988
Unit: eV/atom